UCo3Si3, optimized geometry, DFT PBE; VASP energy = -6.95 eV per atom
1.0
6.149 0.000 0.000
0.000 6.149 0.000
0.000 0.000 6.149
U Co Si
2 6 6
Direct
0.000 0.000 0.000
0.500 0.500 0.500
0.000 0.250 0.500
0.000 0.750 0.500
0.250 0.500 0.000
0.500 0.000 0.250
0.500 0.000 0.750
0.750 0.500 0.000
0.000 0.500 0.250
0.000 0.500 0.750
0.250 0.000 0.500
0.500 0.250 0.000
0.500 0.750 0.000
0.750 0.000 0.500

***

KPaPb2Se4, optimized geometry, DFT PBE; VASP energy = -4.82 eV per atom
1.0
-3.054 3.054 6.514
3.054 -3.054 6.514
3.054 3.054 -6.514
K Pa Pb Se
1 1 2 4
Direct
0.000 0.000 0.000
0.250 0.750 0.500
0.500 0.500 0.000
0.750 0.250 0.500
0.035 0.535 0.500
0.260 0.260 0.000
0.465 0.965 0.500
0.740 0.740 0.000

***

Pu2Si, optimized geometry, DFT PBE; VASP energy = -11.34 eV per atom
1.0
-1.821 1.821 8.242
1.821 -1.821 8.242
1.821 1.821 -8.242
Pu Si
4 2
Direct
0.297 0.547 0.750
0.453 0.703 0.750
0.547 0.297 0.250
0.703 0.453 0.250
0.125 0.875 0.250
0.875 0.125 0.750

***

NdErHg4, optimized geometry, DFT PBE; E_form = -200 kJ/mol of formula units; VASP energy = -2.10 eV per atom; E above lowest polymorph = 0 meV/atom
1.0
5.309 -1.940 0.000
5.309 1.940 0.000
-2.911 0.000 7.501
Nd Er Hg
1 1 4
Direct
0.000 0.000 0.000
0.000 0.000 0.500
0.332 0.332 0.656
0.333 0.333 0.179
0.667 0.667 0.821
0.668 0.668 0.344

***

BaNa2CeBr8, optimized geometry, DFT PBE; VASP energy = -3.67 eV per atom
1.0
6.961 0.000 0.000
0.000 9.373 0.000
-0.112 0.000 7.100
Ba Na Ce Br
1 2 1 8
Direct
0.000 0.000 0.000
0.500 0.234 0.500
0.500 0.766 0.500
0.000 0.500 0.000
0.222 0.285 0.832
0.222 0.715 0.832
0.255 0.500 0.307
0.283 0.000 0.343
0.717 0.000 0.657
0.745 0.500 0.693
0.778 0.285 0.168
0.778 0.715 0.168

***

SrCa6Mg, optimized geometry, DFT PBE; E_form = 18 kJ/mol of formula units; VASP energy = -1.89 eV per atom; E above lowest polymorph = 0 meV/atom
1.0
6.286 0.000 0.000
0.000 3.846 6.747
0.000 -3.846 6.747
Sr Ca Mg
1 6 1
Direct
0.000 0.000 0.000
0.000 0.491 0.996
0.000 0.492 0.492
0.000 0.996 0.491
0.500 0.157 0.649
0.500 0.649 0.157
0.500 0.655 0.655
0.500 0.163 0.163

***

Sr2ZnGe4Pt3, optimized geometry, DFT PBE; E_form = -689 kJ/mol of formula units; VASP energy = -4.84 eV per atom
1.0
4.421 0.000 0.000
0.000 4.421 0.000
0.000 0.000 10.363
Sr Zn Ge Pt
2 1 4 3
Direct
0.000 0.500 0.250
0.500 0.000 0.750
0.000 0.000 0.500
0.000 0.000 0.000
0.000 0.500 0.634
0.500 0.000 0.366
0.500 0.500 0.000
0.000 0.500 0.878
0.500 0.000 0.122
0.500 0.500 0.500

***

TcMo2Ir, optimized geometry, DFT PBE; E_form = -33 kJ/mol of formula units; VASP energy = -10.31 eV per atom; E above lowest polymorph = 0 meV/atom
1.0
3.937 0.000 0.000
0.000 3.937 0.000
0.000 0.000 3.910
Tc Mo Ir
1 2 1
Direct
0.000 0.000 0.000
0.000 0.500 0.500
0.500 0.000 0.500
0.500 0.500 0.000

***

no.,M_tot (μB per formula unit)
1,4.09
2,1.75
3,2.27
4,0.00
5,0.10
6,0.00
7,0.00
8,0.00